Entry 1:
CaZr2Sc: PBEsol geometry, meta-GGA SCAN.

Computed properties:
ΔH_f (0 K) = 0.3317 eV per atom
Crystal system = cubic
Energy = -84.0 eV per cell
Distance to the lowest polymorph of the same formula = 0.094 eV per atom
Space-group type = F-43m, No. 216
M_tot = 3.222 Bohr magnetons per cell

```
data_CaZr2Sc
_space_group_name_H-M_alt 'P 1'
_space_group_IT_number 1
_space_group_name_Hall 'P 1'
_cell_length_a 5.195
_cell_length_b 5.195
_cell_length_c 5.195
_cell_angle_alpha 60.00
_cell_angle_beta 60.00
_cell_angle_gamma 60.00
loop_
_atom_site_label
_atom_site_type_symbol
_atom_site_fract_x
_atom_site_fract_y
_atom_site_fract_z
_atom_site_occupancy
Ca1 Ca 0.000 0.000 0.000 1
Zr1 Zr 0.250 0.250 0.250 1
Zr2 Zr 0.500 0.500 0.500 1
Sc1 Sc 0.750 0.750 0.750 1
```

---

Entry 2:
CaZr2Sc: PBEsol geometry, meta-GGA SCAN.

Computed properties:
ΔH_f (0 K) = 0.2373 eV per atom
Crystal system = tetragonal
Energy = -84.3 eV per cell
Distance to the lowest polymorph of the same formula = 0.000 eV per atom
Space-group type = P4mm, No. 99
M_tot = 0.002 Bohr magnetons per cell

```
data_CaZr2Sc
_space_group_name_H-M_alt 'P 1'
_space_group_IT_number 1
_space_group_name_Hall 'P 1'
_cell_length_a 3.696
_cell_length_b 3.696
_cell_length_c 7.694
_cell_angle_alpha 90.00
_cell_angle_beta 90.00
_cell_angle_gamma 90.00
loop_
_atom_site_label
_atom_site_type_symbol
_atom_site_fract_x
_atom_site_fract_y
_atom_site_fract_z
_atom_site_occupancy
Ca1 Ca 0.000 0.000 0.000 1
Zr1 Zr 0.000 0.000 0.551 1
Zr2 Zr 0.500 0.500 0.713 1
Sc1 Sc 0.500 0.500 0.324 1
```

---

Entry 3:
CaZr2Sc: PBEsol geometry, meta-GGA SCAN.

Computed properties:
ΔH_f (0 K) = 0.4673 eV per atom
Crystal system = tetragonal
Energy = -83.4 eV per cell
Distance to the lowest polymorph of the same formula = 0.230 eV per atom
Space-group type = P4/mmm, No. 123
M_tot = 0.002 Bohr magnetons per cell

```
data_CaZr2Sc
_space_group_name_H-M_alt 'P 1'
_space_group_IT_number 1
_space_group_name_Hall 'P 1'
_cell_length_a 5.383
_cell_length_b 5.383
_cell_length_c 3.368
_cell_angle_alpha 90.00
_cell_angle_beta 90.00
_cell_angle_gamma 90.00
loop_
_atom_site_label
_atom_site_type_symbol
_atom_site_fract_x
_atom_site_fract_y
_atom_site_fract_z
_atom_site_occupancy
Ca1 Ca 0.000 0.000 0.000 1
Zr1 Zr 0.000 0.500 0.500 1
Zr2 Zr 0.500 0.000 0.500 1
Sc1 Sc 0.500 0.500 0.000 1
```

---

Entry 4:
Ca2ZrSc: PBEsol geometry, meta-GGA SCAN.

Computed properties:
ΔH_f (0 K) = 0.4014 eV per atom
Crystal system = cubic
Energy = -62.7 eV per cell
Distance to the lowest polymorph of the same formula = 0.009 eV per atom
Space-group type = F-43m, No. 216
M_tot = 2.472 Bohr magnetons per cell

```
data_Ca2ZrSc
_space_group_name_H-M_alt 'P 1'
_space_group_IT_number 1
_space_group_name_Hall 'P 1'
_cell_length_a 5.432
_cell_length_b 5.432
_cell_length_c 5.432
_cell_angle_alpha 60.00
_cell_angle_beta 60.00
_cell_angle_gamma 60.00
loop_
_atom_site_label
_atom_site_type_symbol
_atom_site_fract_x
_atom_site_fract_y
_atom_site_fract_z
_atom_site_occupancy
Ca1 Ca 0.000 0.000 0.000 1
Ca2 Ca 0.250 0.250 0.250 1
Zr1 Zr 0.500 0.500 0.500 1
Sc1 Sc 0.750 0.750 0.750 1
```

---

Entry 5:
CaSe2: PBEsol geometry, meta-GGA SCAN.

Computed properties:
Formation energy from raw total energies = -0.42 eV/atom
Crystal system = cubic
Energy = -102.2 eV per cell
Space-group type = Fd-3m, No. 227
M_tot = 0.000 Bohr magnetons per cell

```
data_CaSe2
_space_group_name_H-M_alt 'P 1'
_space_group_IT_number 1
_space_group_name_Hall 'P 1'
_cell_length_a 5.880
_cell_length_b 5.880
_cell_length_c 5.880
_cell_angle_alpha 60.00
_cell_angle_beta 60.00
_cell_angle_gamma 60.00
loop_
_atom_site_label
_atom_site_type_symbol
_atom_site_fract_x
_atom_site_fract_y
_atom_site_fract_z
_atom_site_occupancy
Ca1 Ca 0.125 0.125 0.125 1
Ca2 Ca 0.875 0.875 0.875 1
Se1 Se 0.000 0.500 0.500 1
Se2 Se 0.500 0.000 0.500 1
Se3 Se 0.500 0.500 0.000 1
Se4 Se 0.500 0.500 0.500 1
```

---

Entry 6:
CaSe2: PBEsol geometry, meta-GGA SCAN.

Computed properties:
Formation energy from raw total energies = -0.97 eV/atom
Crystal system = cubic
Energy = -52.7 eV per cell
Space-group type = Fm-3m, No. 225
M_tot = 0.002 Bohr magnetons per cell

```
data_CaSe2
_space_group_name_H-M_alt 'P 1'
_space_group_IT_number 1
_space_group_name_Hall 'P 1'
_cell_length_a 4.808
_cell_length_b 4.808
_cell_length_c 4.808
_cell_angle_alpha 60.00
_cell_angle_beta 60.00
_cell_angle_gamma 60.00
loop_
_atom_site_label
_atom_site_type_symbol
_atom_site_fract_x
_atom_site_fract_y
_atom_site_fract_z
_atom_site_occupancy
Ca1 Ca 0.000 0.000 0.000 1
Se1 Se 0.250 0.250 0.250 1
Se2 Se 0.750 0.750 0.750 1
```